1.
The following is a DFT calculation (PBE) of SbIr2AuC after structural relaxation.

Summary:
Raw total energy: -4.74 eV per atom
Theoretical density: 11.78 Mg/m³
M_tot: 1.18 Bohr magnetons per cell

Cell: 4.9388 4.1316 4.9388 Å, 90.00 90.00 90.00°
Closest atoms and distances in Å follow each position.
Fractional coordinates of all 5 atoms:
Au 0.5000 0.5000 0.5000  8 Ir 3.22, 4 C 3.49
C 0.0000 0.5000 0.0000  2 Sb 2.07
Ir 0.0000 0.0000 0.5000  2 Sb 2.47
Ir 0.5000 0.0000 0.0000  2 Sb 2.47
Sb 0.0000 0.0000 0.0000  2 C 2.07

2.
The following is a DFT calculation (PBE) of SiTcIrAu2C after structural relaxation.

Summary:
Raw total energy: -6.51 eV per atom
Theoretical density: 12.26 Mg/m³
M_tot: 0.00 Bohr magnetons per cell

Cell: 5.0675 2.9301 13.2519 Å, 90.00 94.22 90.00°
Closest atoms and distances in Å follow each position.
Fractional coordinates of all 12 atoms:
C 0.8720 0.5000 0.6589  2 Tc 1.98, 2 Ir 2.07
C 0.8720 0.0000 0.1589  2 Tc 1.98, 2 Ir 2.07
Si 0.8535 0.5000 0.8910  1 Tc 2.40, 2 Ir 2.41, 2 Au 2.47-2.60
Si 0.8535 0.0000 0.3910  1 Tc 2.40, 2 Ir 2.41, 2 Au 2.47-2.60
Ir 0.9997 0.0000 0.7621  2 C 2.07
Ir 0.9997 0.5000 0.2621  2 C 2.07
Au 0.3673 0.0000 0.3995  2 Si 2.47-2.60
Au 0.2845 0.0000 0.0907  1 C 2.34
Au 0.2845 0.5000 0.5907  1 C 2.34
Au 0.3673 0.5000 0.8995  2 Si 2.47-2.60
Tc 0.7557 0.5000 0.0657  2 C 1.98
Tc 0.7557 0.0000 0.5657  2 C 1.98

3.
The following is a DFT calculation (PBE) of SiTcIrAu2C after structural relaxation.

Summary:
Raw total energy: -6.30 eV per atom
Theoretical density: 11.70 Mg/m³
M_tot: 0.00 Bohr magnetons per cell

Cell: 4.5546 5.2534 5.3874 Å, 62.78 86.53 65.35°
Closest atoms and distances in Å follow each position.
Fractional coordinates of all 6 atoms:
Tc 0.5338 0.1492 0.0688  1 C 1.94
Au 0.3688 0.2333 0.5461  1 Si 2.57, 2 Tc 2.74-2.81, 1 Ir 2.84
Au 0.7670 0.5162 0.1493  1 C 2.19
Si 0.2525 0.7426 0.7933  1 C 1.87
C 0.9434 0.8820 0.0039  1 Si 1.87, 1 Tc 1.94, 1 Ir 2.01
Ir 0.1762 0.8969 0.2998  1 C 2.01

4.
The following is a DFT calculation (PBE) of SiTcIrAu2C after structural relaxation.

Summary:
Raw total energy: -6.54 eV per atom
Theoretical density: 12.24 Mg/m³
M_tot: 0.00 Bohr magnetons per cell

Cell: 4.7775 2.8401 14.4828 Å, 90.00 90.00 90.00°
Closest atoms and distances in Å follow each position.
Fractional coordinates of all 12 atoms:
Ir 0.0000 0.0000 0.2162  2 C 2.00
Ir 0.0000 0.5000 0.7162  2 C 2.00
Si 0.0000 0.0000 0.0536  1 Ir 2.36, 2 Tc 2.47
Si 0.0000 0.5000 0.5536  1 Ir 2.36, 2 Tc 2.47
Tc 0.0000 0.0000 0.4143  2 C 2.03
Tc 0.0000 0.5000 0.9143  2 C 2.03
Au 0.5000 0.5000 0.1762  4 Ir 2.84, 2 Au 2.84, 2 C 3.11
Au 0.5000 0.0000 0.9579  2 Si 2.76, 2 Au 2.84, 4 Tc 2.85
Au 0.5000 0.0000 0.6762  4 Ir 2.84, 2 Au 2.84, 2 C 3.11
Au 0.5000 0.5000 0.4579  2 Si 2.76, 2 Au 2.84, 4 Tc 2.85
C 0.0000 0.5000 0.3138  2 Ir 2.00, 2 Tc 2.03
C 0.0000 0.0000 0.8138  2 Ir 2.00, 2 Tc 2.03

5.
The following is a DFT calculation (PBE) of SiTcIrAu2C after structural relaxation.

Summary:
Raw total energy: -6.56 eV per atom
Theoretical density: 13.58 Mg/m³
M_tot: 0.00 Bohr magnetons per cell

Cell: 2.9512 5.1320 6.3997 Å, 96.88 103.24 106.75°
Closest atoms and distances in Å follow each position.
Fractional coordinates of all 6 atoms:
Au 0.2770 0.7251 0.4977  5 Au 2.85-2.95, 2 Ir 2.88-2.89, 3 Tc 2.95-3.06, 2 Si 2.99
Au 0.6545 0.3063 0.6734  5 Au 2.85-2.95, 2 Tc 2.87-2.88, 3 Ir 3.00-3.03, 2 Si 3.06, 2 C 3.17-3.18
C 0.3639 0.2762 0.1188  1 Si 1.85, 2 Tc 2.03, 1 Ir 2.05
Si 0.5198 0.6356 0.0724  1 C 1.85
Tc 0.8584 0.1100 0.2765  2 C 2.03
Ir 0.0693 0.9053 0.8994  1 C 2.05

6.
The following is a DFT calculation (PBE) of SiTcIrAu2C after structural relaxation.

Summary:
Raw total energy: -6.52 eV per atom
Theoretical density: 12.74 Mg/m³
M_tot: 0.00 Bohr magnetons per cell

Cell: 5.1462 2.8030 6.8947 Å, 90.00 108.30 90.00°
Closest atoms and distances in Å follow each position.
Fractional coordinates of all 6 atoms:
Tc 0.0834 0.5000 0.1065  2 C 2.04
C 0.0663 0.0000 0.3171  2 Tc 2.04, 2 Ir 2.05, 1 Au 2.26
Au 0.6968 0.0000 0.7558  1 Si 2.47
Au 0.6061 0.0000 0.1826  1 C 2.26
Si 0.1980 0.0000 0.8317  2 Ir 2.47, 2 Au 2.47-2.66, 2 Tc 2.57
Ir 0.2167 0.5000 0.5422  2 C 2.05

7.
The following is a DFT calculation (PBE) of SiTcIrAu2C after structural relaxation.

Summary:
Raw total energy: -6.48 eV per atom
Theoretical density: 12.74 Mg/m³
M_tot: 0.00 Bohr magnetons per cell

Cell: 3.4534 4.3101 6.7304 Å, 73.82 84.31 79.28°
Closest atoms and distances in Å follow each position.
Fractional coordinates of all 6 atoms:
Ir 0.9258 0.8339 0.1089  1 C 1.94
C 0.1320 0.1344 0.8676  2 Tc 1.93-1.98, 1 Ir 1.94
Au 0.0481 0.7830 0.5171  1 Ir 2.76, 3 Au 2.82-2.87, 3 Tc 2.88-2.92
Au 0.4748 0.3043 0.3171  1 Si 2.67, 1 Tc 2.81, 3 Ir 2.81-2.95, 3 Au 2.82-2.87
Tc 0.6238 0.2482 0.7296  2 C 1.93-1.98
Si 0.5141 0.6546 0.9214  1 C 2.19, 2 Ir 2.35-2.40, 1 Tc 2.41

8.
The following is a DFT calculation (PBE) of SiTcIrAu2C after structural relaxation.

Summary:
Raw total energy: -6.54 eV per atom
Theoretical density: 13.87 Mg/m³
M_tot: 0.00 Bohr magnetons per cell

Cell: 7.2871 2.8791 9.3904 Å, 90.00 118.34 90.00°
Closest atoms and distances in Å follow each position.
Fractional coordinates of all 12 atoms:
Si 0.7821 0.0000 0.9324  2 C 1.95
Si 0.7821 0.5000 0.4324  2 C 1.95
C 0.7688 0.0000 0.5676  2 Si 1.95, 1 Ir 2.03, 2 Tc 2.10
C 0.7688 0.5000 0.0676  2 Si 1.95, 1 Ir 2.03, 2 Tc 2.10
Tc 0.9196 0.5000 0.7492  2 C 2.10
Tc 0.9196 0.0000 0.2492  2 C 2.10
Au 0.1713 0.5000 0.5476  1 Si 2.51, 1 Au 2.74
Au 0.3392 0.5000 0.3416  5 Au 2.74-2.88, 3 Ir 2.90-2.95, 1 Si 2.92
Au 0.3392 0.0000 0.8416  5 Au 2.74-2.88, 3 Ir 2.90-2.95, 1 Si 2.92
Au 0.1713 0.0000 0.0476  1 Si 2.51, 1 Au 2.74
Ir 0.5589 0.0000 0.6524  1 C 2.03
Ir 0.5589 0.5000 0.1524  1 C 2.03

9.
The following is a DFT calculation (PBE) of SiTcIrAu2C after structural relaxation.

Summary:
Raw total energy: -6.53 eV per atom
Theoretical density: 13.72 Mg/m³
M_tot: 0.00 Bohr magnetons per cell

Cell: 4.7679 2.9305 6.4391 Å, 90.00 103.10 90.00°
Closest atoms and distances in Å follow each position.
Fractional coordinates of all 6 atoms:
Si 0.3960 0.5000 0.8910  2 C 2.09
Tc 0.8382 0.5000 0.7414  2 C 2.05
Au 0.7065 0.0000 0.3417  1 C 2.69, 2 Ir 2.85-2.94, 2 Tc 2.90, 6 Au 2.93-2.94
Au 0.2480 0.5000 0.4830  1 Si 2.56, 1 Tc 2.84
Ir 0.1383 0.0000 0.0797  1 C 2.04
C 0.7147 0.0000 0.9249  1 Ir 2.04, 2 Tc 2.05, 2 Si 2.09

10.
The following is a DFT calculation (PBE) of SiTcIrAu2C after structural relaxation.

Summary:
Raw total energy: -6.47 eV per atom
Theoretical density: 12.62 Mg/m³
M_tot: 0.00 Bohr magnetons per cell

Cell: 2.8045 5.2884 6.9773 Å, 106.90 90.06 105.10°
Closest atoms and distances in Å follow each position.
Fractional coordinates of all 6 atoms:
Ir 0.3540 0.8370 0.4991  2 C 2.06
Tc 0.3826 0.8910 0.9179  2 C 2.04
Si 0.8809 0.8894 0.2230  2 Ir 2.46-2.47, 2 Tc 2.55, 1 Au 2.60
Au 0.1195 0.3676 0.1613  1 Si 2.60, 2 Au 2.80, 1 Ir 2.81, 2 Tc 2.88
Au 0.6276 0.3740 0.7661  1 C 2.24
C 0.8244 0.7738 0.6966  2 Tc 2.04, 2 Ir 2.06, 1 Au 2.24

11.
The following is a DFT calculation (PBE) of SiTcIrAu2C after structural relaxation.

Summary:
Raw total energy: -6.44 eV per atom
Theoretical density: 12.98 Mg/m³
M_tot: 0.00 Bohr magnetons per cell

Cell: 6.7366 2.8853 10.4015 Å, 90.00 113.54 90.00°
Closest atoms and distances in Å follow each position.
Fractional coordinates of all 12 atoms:
Ir 0.3453 0.5000 0.3122  2 C 2.01
Ir 0.3453 0.0000 0.8122  2 C 2.01
Au 0.9422 0.5000 0.7544  3 Tc 2.82-3.07, 4 Au 2.89-3.13, 2 Ir 2.92, 3 Si 2.92-3.05
Au 0.5004 0.0000 0.5928  1 C 2.25
Au 0.9422 0.0000 0.2544  3 Tc 2.82-3.07, 4 Au 2.89-3.13, 2 Ir 2.92, 3 Si 2.92-3.05
Au 0.5004 0.5000 0.0928  1 C 2.25
Tc 0.8006 0.5000 0.4352  2 C 2.05
Tc 0.8006 0.0000 0.9352  2 C 2.05
C 0.5683 0.5000 0.8974  2 Ir 2.01, 2 Tc 2.05, 1 Au 2.25
C 0.5683 0.0000 0.3974  2 Ir 2.01, 2 Tc 2.05, 1 Au 2.25
Si 0.1073 0.5000 0.0736  1 Ir 2.36, 2 Tc 2.46, 1 Au 2.57
Si 0.1073 0.0000 0.5736  1 Ir 2.36, 2 Tc 2.46, 1 Au 2.57

12.
The following is a DFT calculation (PBE) of SiTcIrAu2C after structural relaxation.

Summary:
Raw total energy: -6.51 eV per atom
Theoretical density: 13.44 Mg/m³
M_tot: 0.01 Bohr magnetons per cell

Cell: 2.9365 5.6473 5.7724 Å, 103.98 90.01 105.09°
Closest atoms and distances in Å follow each position.
Fractional coordinates of all 6 atoms:
Ir 0.1731 0.7978 0.4889  2 C 2.07
Tc 0.1669 0.7788 0.9742  2 C 2.01
Au 0.4444 0.3403 0.6385  1 C 2.36
Au 0.4613 0.3727 0.1342  2 Si 2.59-2.60, 1 Au 2.82
C 0.6698 0.7882 0.7390  2 Tc 2.01, 2 Ir 2.07
Si 0.8017 0.0550 0.2893  2 Ir 2.50, 2 Tc 2.52-2.53, 4 Au 2.59-2.66

Number 1: formation energy (no corrections) 2127 meV/atom, DOS(E_F) 1.490 states/eV/atom. Number 2: formation energy (no corrections) 225 meV/atom, DOS(E_F) 0.517 states/eV/atom. Number 3: formation energy (no corrections) 434 meV/atom, DOS(E_F) 0.534 states/eV/atom. Number 4: formation energy (no corrections) 200 meV/atom, DOS(E_F) 0.299 states/eV/atom. Number 5: formation energy (no corrections) 179 meV/atom, DOS(E_F) 0.572 states/eV/atom. Number 6: formation energy (no corrections) 223 meV/atom, DOS(E_F) 0.325 states/eV/atom. Number 7: formation energy (no corrections) 258 meV/atom, DOS(E_F) 0.275 states/eV/atom. Number 8: formation energy (no corrections) 200 meV/atom, DOS(E_F) 0.472 states/eV/atom. Number 9: formation energy (no corrections) 209 meV/atom, DOS(E_F) 0.554 states/eV/atom. Number 10: formation energy (no corrections) 270 meV/atom, DOS(E_F) 0.388 states/eV/atom. Number 11: formation energy (no corrections) 297 meV/atom, DOS(E_F) 0.588 states/eV/atom. Number 12: formation energy (no corrections) 230 meV/atom, DOS(E_F) 0.513 states/eV/atom.